# Ac2YRuO8 (PBE, relaxed)
data_Ac2YRuO8
_chemical_formula_sum 'Ac2 Y1 Ru1 O8'
_symmetry_space_group_name_H-M 'P 1'
_symmetry_Int_Tables_number 1
_symmetry_space_group_name_Hall 'P 1'
_cell_length_a 4.5568
_cell_length_b 7.2462
_cell_length_c 5.5579
_cell_angle_alpha 90.00
_cell_angle_beta 97.10
_cell_angle_gamma 90.00
loop_
_atom_site_label
_atom_site_type_symbol
_atom_site_fract_x
_atom_site_fract_y
_atom_site_fract_z
Ac1 Ac 0.0000 0.2420 0.0000
Ac2 Ac 0.0000 0.7580 0.0000
Y1 Y 0.5000 0.5000 0.5000
Ru1 Ru 0.5000 0.0000 0.5000
O1 O 0.0839 0.5000 0.2537
O2 O 0.1230 0.0000 0.3427
O3 O 0.4252 0.2086 0.7219
O4 O 0.4252 0.7914 0.7219
O5 O 0.5748 0.2086 0.2781
O6 O 0.5748 0.7914 0.2781
O7 O 0.8770 0.0000 0.6573
O8 O 0.9161 0.5000 0.7463
# volume: 182.1 Å³/cell
# crystal system: monoclinic
# spin magnetization: 1.015 Bohr magnetons per cell
# N(E_F): 2.19 states/eV/f.u.
# formation energy from raw total energies: -2.263 eV/atom



# AcYRuO6 (PBE, relaxed)
data_AcYRuO6
_chemical_formula_sum 'Ac2 Y2 Ru2 O12'
_symmetry_space_group_name_H-M 'P 1'
_symmetry_Int_Tables_number 1
_symmetry_space_group_name_Hall 'P 1'
_cell_length_a 5.8168
_cell_length_b 5.8168
_cell_length_c 8.9058
_cell_angle_alpha 90.00
_cell_angle_beta 90.00
_cell_angle_gamma 120.00
loop_
_atom_site_label
_atom_site_type_symbol
_atom_site_fract_x
_atom_site_fract_y
_atom_site_fract_z
Ac1 Ac 0.3333 0.6667 0.2500
Ac2 Ac 0.6667 0.3333 0.7500
Y1 Y 0.0000 0.0000 0.0000
Y2 Y 0.0000 0.0000 0.5000
Ru1 Ru 0.3333 0.6667 0.7500
Ru2 Ru 0.6667 0.3333 0.2500
O1 O 0.0703 0.3765 0.6268
O2 O 0.0703 0.6938 0.8732
O3 O 0.3062 0.3765 0.8732
O4 O 0.3062 0.9297 0.6268
O5 O 0.3765 0.0703 0.1268
O6 O 0.3765 0.3062 0.3732
O7 O 0.6235 0.6938 0.6268
O8 O 0.6235 0.9297 0.8732
O9 O 0.6938 0.0703 0.3732
O10 O 0.6938 0.6235 0.1268
O11 O 0.9297 0.3062 0.1268
O12 O 0.9297 0.6235 0.3732
# volume: 261.0 Å³/cell
# crystal system: trigonal
# spin magnetization: 4.053 Bohr magnetons per cell
# N(E_F): 4.31 states/eV/f.u.
# formation energy from raw total energies: -2.191 eV/atom



# AcY2RuO8 (PBE, relaxed)
data_AcY2RuO8
_chemical_formula_sum 'Ac1 Y2 Ru1 O8'
_symmetry_space_group_name_H-M 'P 1'
_symmetry_Int_Tables_number 1
_symmetry_space_group_name_Hall 'P 1'
_cell_length_a 5.0909
_cell_length_b 7.0460
_cell_length_c 5.0987
_cell_angle_alpha 90.00
_cell_angle_beta 90.65
_cell_angle_gamma 90.00
loop_
_atom_site_label
_atom_site_type_symbol
_atom_site_fract_x
_atom_site_fract_y
_atom_site_fract_z
Ac1 Ac 0.0000 0.0000 0.0000
Y1 Y 0.5000 0.2558 0.5000
Y2 Y 0.5000 0.7442 0.5000
Ru1 Ru 0.0000 0.5000 0.0000
O1 O 0.1874 0.3036 0.1853
O2 O 0.1874 0.6964 0.1853
O3 O 0.2670 0.5000 0.7312
O4 O 0.3219 0.0000 0.6752
O5 O 0.6781 0.0000 0.3248
O6 O 0.7330 0.5000 0.2688
O7 O 0.8126 0.3036 0.8147
O8 O 0.8126 0.6964 0.8147
# volume: 182.9 Å³/cell
# crystal system: monoclinic
# spin magnetization: 1.275 Bohr magnetons per cell
# N(E_F): 5.78 states/eV/f.u.
# formation energy from raw total energies: -2.346 eV/atom



# AcZnRu2O8 (PBE, relaxed)
data_AcZnRu2O8
_chemical_formula_sum 'Ac1 Zn1 Ru2 O8'
_symmetry_space_group_name_H-M 'P 1'
_symmetry_Int_Tables_number 1
_symmetry_space_group_name_Hall 'P 1'
_cell_length_a 5.1741
_cell_length_b 5.1741
_cell_length_c 7.5765
_cell_angle_alpha 91.40
_cell_angle_beta 91.40
_cell_angle_gamma 70.14
loop_
_atom_site_label
_atom_site_type_symbol
_atom_site_fract_x
_atom_site_fract_y
_atom_site_fract_z
Ac1 Ac 0.0000 0.0000 0.0000
Zn1 Zn 0.0000 0.0000 0.5000
Ru1 Ru 0.3755 0.3755 0.7111
Ru2 Ru 0.6245 0.6245 0.2889
O1 O 0.2176 0.7519 0.7181
O2 O 0.2382 0.2382 0.5302
O3 O 0.2481 0.7824 0.2819
O4 O 0.2939 0.2939 0.9336
O5 O 0.7061 0.7061 0.0664
O6 O 0.7519 0.2176 0.7181
O7 O 0.7618 0.7618 0.4698
O8 O 0.7824 0.2481 0.2819
# volume: 190.7 Å³/cell
# crystal system: monoclinic
# spin magnetization: 3.033 Bohr magnetons per cell
# N(E_F): 6.05 states/eV/f.u.
# formation energy from raw total energies: -1.336 eV/atom